No. 1
A PBEsol-optimized structure of Te2Ir, computed with SCAN.

Properties
For the energy relative to the elements, uncorrected, the calculation gives 86.7 kJ/mol of formula units. The calculated volume is 142 Å³ per cell.

Lattice parameters (Å, degrees): 3.071 3.446 13.598 97.28 96.48 90.00
Sites, in units of the cell vectors:
Te 0.060 0.310 0.120
Te 0.816 0.566 0.631
Te 0.184 0.434 0.369
Te 0.940 0.690 0.880
Ir 0.623 0.873 0.247
Ir 0.377 0.127 0.753

No. 2
A PBEsol-optimized structure of Te2Ir, computed with SCAN.

Properties
For the energy relative to the elements, uncorrected, the calculation gives 162.6 kJ/mol of formula units. The calculated volume is 135 Å³ per cell.

Lattice parameters (Å, degrees): 4.484 4.484 7.736 90.00 90.00 120.00
Sites, in units of the cell vectors:
Ir 0.333 0.667 0.250
Ir 0.667 0.333 0.750
Te 0.000 0.000 0.500
Te 0.667 0.333 0.250
Te 0.333 0.667 0.750
Te 0.000 0.000 0.000

No. 3
A PBEsol-optimized structure of TeIr3, computed with SCAN.

Properties
For the energy relative to the elements, uncorrected, the calculation gives 426.7 kJ/mol of formula units. The calculated volume is 132 Å³ per cell.

Lattice parameters (Å, degrees): 5.086 5.086 5.086 90.00 90.00 90.00
Sites, in units of the cell vectors:
Te 0.500 0.500 0.500
Te 0.000 0.000 0.000
Ir 0.500 0.000 0.250
Ir 0.500 0.000 0.750
Ir 0.000 0.250 0.500
Ir 0.250 0.500 0.000
Ir 0.750 0.500 0.000
Ir 0.000 0.750 0.500

No. 4
A PBEsol-optimized structure of TeIr3, computed with SCAN.

Properties
For the energy relative to the elements, uncorrected, the calculation gives 995.9 kJ/mol of formula units. The calculated volume is 113 Å³ per cell.

Lattice parameters (Å, degrees): 4.835 4.835 4.835 90.00 90.00 90.00
Sites, in units of the cell vectors:
Ir 0.000 0.500 0.000
Ir 0.000 0.000 0.500
Ir 0.500 0.000 0.000
Te 0.000 0.000 0.000

No. 5
A PBEsol-optimized structure of TeIr3, computed with SCAN.

Properties
For the energy relative to the elements, uncorrected, the calculation gives 189.0 kJ/mol of formula units. The calculated volume is 64 Å³ per cell.

Lattice parameters (Å, degrees): 2.941 4.779 5.341 116.58 105.98 90.00
Sites, in units of the cell vectors:
Ir 0.232 0.250 0.463
Ir 0.500 0.794 0.000
Ir 0.768 0.787 0.537
Te 0.000 0.335 0.000

No. 6
A PBEsol-optimized structure of Te2Ir, computed with SCAN.

Properties
For the energy relative to the elements, uncorrected, the calculation gives -107.5 kJ/mol of formula units. The calculated volume is 356 Å³ per cell.

Lattice parameters (Å, degrees): 3.964 6.596 14.486 98.62 92.72 107.38
Sites, in units of the cell vectors:
Ir 0.427 0.787 0.704
Ir 0.862 0.568 0.912
Ir 0.573 0.213 0.296
Ir 0.000 0.000 0.500
Ir 0.138 0.432 0.088
Te 0.218 0.296 0.911
Te 0.056 0.056 0.684
Te 0.797 0.519 0.724
Te 0.944 0.944 0.316
Te 0.782 0.704 0.089
Te 0.487 0.841 0.888
Te 0.366 0.728 0.518
Te 0.513 0.159 0.112
Te 0.634 0.272 0.482
Te 0.203 0.481 0.276

No. 7
A PBEsol-optimized structure of Te2Ir, computed with SCAN.

Properties
For the energy relative to the elements, uncorrected, the calculation gives -107.7 kJ/mol of formula units. The calculated volume is 295 Å³ per cell.

Lattice parameters (Å, degrees): 4.037 6.453 11.336 90.00 90.00 90.00
Sites, in units of the cell vectors:
Te 0.750 0.221 0.997
Te 0.250 0.721 0.503
Te 0.750 0.279 0.497
Te 0.750 0.987 0.270
Te 0.250 0.013 0.730
Te 0.250 0.487 0.230
Te 0.250 0.779 0.003
Te 0.750 0.513 0.770
Ir 0.250 0.110 0.139
Ir 0.750 0.890 0.861
Ir 0.250 0.390 0.639
Ir 0.750 0.610 0.361

No. 8
A PBEsol-optimized structure of Te2Ir, computed with SCAN.

Properties
For the energy relative to the elements, uncorrected, the calculation gives -119.1 kJ/mol of formula units. The calculated volume is 212 Å³ per cell.

Lattice parameters (Å, degrees): 4.021 5.285 10.180 90.73 101.39 90.00
Sites, in units of the cell vectors:
Te 0.455 0.777 0.911
Te 0.879 0.287 0.757
Te 0.545 0.223 0.089
Te 0.220 0.244 0.440
Te 0.780 0.756 0.560
Te 0.121 0.713 0.243
Ir 0.660 0.000 0.319
Ir 0.340 0.000 0.681
Ir 0.000 0.500 0.000

No. 9
A PBEsol-optimized structure of TeIr3, computed with SCAN.

Properties
For the energy relative to the elements, uncorrected, the calculation gives 171.6 kJ/mol of formula units. The calculated volume is 62 Å³ per cell.

Lattice parameters (Å, degrees): 3.968 3.968 3.968 90.00 90.00 90.00
Sites, in units of the cell vectors:
Ir 0.500 0.500 0.000
Ir 0.500 0.000 0.500
Ir 0.000 0.500 0.500
Te 0.000 0.000 0.000

No. 10
A PBEsol-optimized structure of TeIrW2, computed with SCAN.

Properties
For the energy relative to the elements, uncorrected, the calculation gives 207.8 kJ/mol of formula units. The calculated volume is 65 Å³ per cell.

Lattice parameters (Å, degrees): 3.066 3.066 6.935 90.00 90.00 90.00
Sites, in units of the cell vectors:
Te 0.500 0.500 0.500
Ir 0.500 0.500 0.000
W 0.000 0.000 0.755
W 0.000 0.000 0.245

No. 11
A PBEsol-optimized structure of TeIrW2, computed with SCAN.

Properties
For the energy relative to the elements, uncorrected, the calculation gives 267.7 kJ/mol of formula units. The calculated volume is 66 Å³ per cell.

Lattice parameters (Å, degrees): 2.913 5.044 5.044 115.14 95.19 95.19
Sites, in units of the cell vectors:
W 0.000 0.500 0.000
W 0.000 0.000 0.500
Te 0.500 0.000 0.000
Ir 0.500 0.500 0.500

No. 12
A PBEsol-optimized structure of TeIr4W, computed with SCAN.

Properties
For the energy relative to the elements, uncorrected, the calculation gives 426.3 kJ/mol of formula units. The calculated volume is 98 Å³ per cell.

Lattice parameters (Å, degrees): 5.175 5.175 5.175 60.00 60.00 60.00
Sites, in units of the cell vectors:
Ir 0.626 0.626 0.626
Ir 0.626 0.123 0.626
Ir 0.626 0.626 0.123
Ir 0.123 0.626 0.626
Te 0.250 0.250 0.250
W 0.000 0.000 0.000

No. 13
A PBEsol-optimized structure of TeIrW2, computed with SCAN.

Properties
For the energy relative to the elements, uncorrected, the calculation gives 238.3 kJ/mol of formula units. The calculated volume is 67 Å³ per cell.

Lattice parameters (Å, degrees): 2.856 4.156 5.747 90.00 100.61 90.00
Sites, in units of the cell vectors:
W 0.093 0.000 0.226
W 0.907 0.000 0.774
Te 0.500 0.500 0.500
Ir 0.500 0.500 0.000

No. 14
A PBEsol-optimized structure of TeIrW2, computed with SCAN.

Properties
For the energy relative to the elements, uncorrected, the calculation gives 277.8 kJ/mol of formula units. The calculated volume is 65 Å³ per cell.

Lattice parameters (Å, degrees): 4.032 4.032 4.929 114.14 114.14 90.00
Sites, in units of the cell vectors:
Te 0.250 0.750 0.500
W 0.750 0.250 0.500
W 0.000 0.000 0.000
Ir 0.500 0.500 0.000

No. 15
A PBEsol-optimized structure of YTeIr, computed with SCAN.

Properties
For the energy relative to the elements, uncorrected, the calculation gives -285.9 kJ/mol of formula units. The calculated volume is 65 Å³ per cell.

Lattice parameters (Å, degrees): 3.811 4.434 4.434 120.00 90.00 90.00
Sites, in units of the cell vectors:
Te 0.805 0.333 0.667
Ir 0.875 0.000 0.000
Y 0.320 0.667 0.333

No. 16
A PBEsol-optimized structure of Y2TeIr, computed with SCAN.

Properties
For the energy relative to the elements, uncorrected, the calculation gives -313.4 kJ/mol of formula units. The calculated volume is 93 Å³ per cell.

Lattice parameters (Å, degrees): 4.526 5.138 5.138 65.31 63.87 63.87
Sites, in units of the cell vectors:
Te 0.000 0.500 0.500
Y 0.233 0.767 0.767
Y 0.767 0.233 0.233
Ir 0.500 0.000 0.000

No. 17
A PBEsol-optimized structure of YTeIr2, computed with SCAN.

Properties
For the energy relative to the elements, uncorrected, the calculation gives -67.6 kJ/mol of formula units. The calculated volume is 79 Å³ per cell.

Lattice parameters (Å, degrees): 3.598 3.598 6.115 90.00 90.00 90.00
Sites, in units of the cell vectors:
Ir 0.500 0.500 0.196
Ir 0.000 0.000 0.054
Y 0.500 0.500 0.769
Te 0.000 0.000 0.481

No. 18
A PBEsol-optimized structure of YTe2Ir2, computed with SCAN.

Properties
For the energy relative to the elements, uncorrected, the calculation gives -203.2 kJ/mol of formula units. The calculated volume is 108 Å³ per cell.

Lattice parameters (Å, degrees): 4.809 4.809 5.782 114.57 114.57 90.00
Sites, in units of the cell vectors:
Ir 0.637 0.637 0.274
Ir 0.363 0.363 0.726
Y 0.000 0.000 0.000
Te 0.250 0.750 0.500
Te 0.750 0.250 0.500

No. 19
A PBEsol-optimized structure of YTeIr2, computed with SCAN.

Properties
For the energy relative to the elements, uncorrected, the calculation gives -82.0 kJ/mol of formula units. The calculated volume is 75 Å³ per cell.

Lattice parameters (Å, degrees): 3.199 3.199 7.348 90.00 90.00 90.00
Sites, in units of the cell vectors:
Ir 0.000 0.000 0.769
Ir 0.000 0.000 0.231
Y 0.500 0.500 0.500
Te 0.500 0.500 0.000

No. 20
A PBEsol-optimized structure of Y2TeIr, computed with SCAN.

Properties
For the energy relative to the elements, uncorrected, the calculation gives -460.9 kJ/mol of formula units. The calculated volume is 102 Å³ per cell.

Lattice parameters (Å, degrees): 4.071 4.071 7.491 74.23 74.23 60.00
Sites, in units of the cell vectors:
Ir 0.000 0.000 0.000
Y 0.736 0.736 0.791
Y 0.264 0.264 0.209
Te 0.500 0.500 0.500